No. 1
Here is a relaxed structure of Rb3La2HfSe6 from Alexandria via LeMat-Bulk. Energies are from GGA-PBE.

## Properties
volume	31.8	Å³ per atom
symmetry	C2/m, No. 12

Cell lengths 7.4187, 7.4187, 8.3896 Å; angles 98.53, 98.53, 120.01 degrees
Last column: nearest neighbours and their distance in Å.
Sites, in units of the cell vectors:
Rb (0.0000, 0.0000, 0.0000)  6 Se 3.39-3.62
Rb (0.3280, 0.6720, 0.0000)  6 Se 3.40-3.57
Rb (0.6720, 0.3280, 0.0000)  6 Se 3.40-3.57
La (0.1662, 0.8338, 0.5000)  6 Se 3.03
La (0.8338, 0.1662, 0.5000)  6 Se 3.03
Hf (0.5000, 0.5000, 0.5000)  6 Se 2.76
Se (0.1291, 0.4340, 0.3025)  1 Hf 2.76, 2 La 3.03
Se (0.2624, 0.2624, 0.6989)  1 Hf 2.76, 2 La 3.03
Se (0.4340, 0.1291, 0.3025)  1 Hf 2.76, 2 La 3.03
Se (0.5660, 0.8709, 0.6975)  1 Hf 2.76, 2 La 3.03
Se (0.7376, 0.7376, 0.3011)  1 Hf 2.76, 2 La 3.03
Se (0.8709, 0.5660, 0.6975)  1 Hf 2.76, 2 La 3.03



No. 2
Here is a relaxed structure of CePm6Nd4 from Alexandria via LeMat-Bulk. Energies are from GGA-PBE.

## Properties
formation energy	3.26	eV/f.u.
volume	35.4	Å³ per atom
symmetry	I-42m, No. 121

Cell lengths 10.0469, 10.0469, 10.0469 Å; angles 141.56, 141.56, 55.49 degrees
Last column: nearest neighbours and their distance in Å.
Sites, in units of the cell vectors:
Ce (0.0000, 0.0000, 0.0000)  4 Pm 3.31, 4 Nd 3.66
Pm (0.0000, 0.5000, 0.5000)  2 Ce 3.31, 4 Pm 3.33
Pm (0.1880, 0.5555, 0.0000)  3 Pm 3.33-3.44, 5 Nd 3.42-3.57
Pm (0.4445, 0.4445, 0.6325)  3 Pm 3.33-3.44, 5 Nd 3.42-3.57
Pm (0.5000, 0.0000, 0.5000)  2 Ce 3.31, 4 Pm 3.33
Pm (0.5555, 0.1880, 0.0000)  3 Pm 3.33-3.44, 5 Nd 3.42-3.57
Pm (0.8120, 0.8120, 0.3675)  3 Pm 3.33-3.44, 5 Nd 3.42-3.57
Nd (0.0110, 0.0110, 0.3812)  5 Pm 3.42-3.57, 1 Nd 3.57, 1 Ce 3.66
Nd (0.3702, 0.9890, 0.0000)  5 Pm 3.42-3.57, 1 Nd 3.57, 1 Ce 3.66
Nd (0.6298, 0.6298, 0.6188)  5 Pm 3.42-3.57, 1 Nd 3.57, 1 Ce 3.66
Nd (0.9890, 0.3702, 0.0000)  5 Pm 3.42-3.57, 1 Nd 3.57, 1 Ce 3.66



| no. | final energy (eV per atom) |
| --- | --- |
| 1 | -5.22 |
| 2 | -4.57 |